(1)
Material: AlRhCl2
Method: DFT, GGA-PBEsol
State: optimized geometry

Summary:
energy relative to the lowest polymorph listed for this composition: 0.668 eV per atom
final energy: -3.782 eV per atom
uncorrected formation energy: 0.280 eV/atom
space group: P4/mmm (123)

a b c (Å): 3.092 3.098 6.580
angles (deg): 90.00 90.00 90.00
Element x y z (fractional)
Cl (0.000, 0.000, 0.251)
Rh (0.500, 0.500, 0.000)
Cl (0.000, 0.000, 0.749)
Al (0.500, 0.500, 0.500)

***

(2)
Material: Al2TlI2
Method: DFT, GGA-PBEsol
State: optimized geometry

Summary:
final energy: -2.983 eV per atom
uncorrected formation energy: -0.114 eV/atom
space group: I4/mmm (139)

a b c (Å): 3.888 3.888 10.031
angles (deg): 101.17 101.17 90.00
Element x y z (fractional)
I (0.388, 0.388, 0.776)
Al (0.250, 0.750, 0.500)
Al (0.750, 0.250, 0.500)
Tl (0.000, 0.000, 0.000)
I (0.612, 0.612, 0.224)

***

(3)
Material: Ta3BCl
Method: DFT, GGA-PBEsol
State: optimized geometry

Summary:
energy relative to the lowest polymorph listed for this composition: 0.000 eV per atom
final energy: -8.596 eV per atom
uncorrected formation energy: 0.739 eV/atom
space group: Pm-3m (221)

a b c (Å): 4.367 4.367 4.367
angles (deg): 90.00 90.00 90.00
Element x y z (fractional)
Cl (0.500, 0.500, 0.500)
Ta (0.000, 0.500, 0.000)
Ta (0.500, 0.000, 0.000)
Ta (0.000, 0.000, 0.500)
B (0.000, 0.000, 0.000)

***

What did the third record say?
Material: Ta3BCl
Method: DFT, GGA-PBEsol
State: optimized geometry

Summary:
energy relative to the lowest polymorph listed for this composition: 0.000 eV per atom
final energy: -8.596 eV per atom
uncorrected formation energy: 0.739 eV/atom
space group: Pm-3m (221)

a b c (Å): 4.367 4.367 4.367
angles (deg): 90.00 90.00 90.00
Element x y z (fractional)
Cl (0.500, 0.500, 0.500)
Ta (0.000, 0.500, 0.000)
Ta (0.500, 0.000, 0.000)
Ta (0.000, 0.000, 0.500)
B (0.000, 0.000, 0.000)

***

Please write out number 3 again, unchanged.
Material: Ta3BCl
Method: DFT, GGA-PBEsol
State: optimized geometry

Summary:
energy relative to the lowest polymorph listed for this composition: 0.000 eV per atom
final energy: -8.596 eV per atom
uncorrected formation energy: 0.739 eV/atom
space group: Pm-3m (221)

a b c (Å): 4.367 4.367 4.367
angles (deg): 90.00 90.00 90.00
Element x y z (fractional)
Cl (0.500, 0.500, 0.500)
Ta (0.000, 0.500, 0.000)
Ta (0.500, 0.000, 0.000)
Ta (0.000, 0.000, 0.500)
B (0.000, 0.000, 0.000)

***

- The lowest final energy belongs to which entry?
  Ta3BCl